# 1
! PBE CsSnRh, relaxed; values from VASP
! Total magnetic moment, μB per formula unit: 0.00
! ΔE_f, eV per atom: -0.28
&SYSTEM
  ibrav = 0, nat = 6, ntyp = 3
/
ATOMIC_SPECIES
Cs 132.91 Cs.upf
Sn 118.71 Sn.upf
Rh 102.91 Rh.upf
CELL_PARAMETERS angstrom
4.581 0.000 0.000
0.000 4.581 0.000
0.000 0.000 9.450
ATOMIC_POSITIONS crystal
Cs 0.250 0.250 0.164
Cs 0.750 0.750 0.836
Sn 0.250 0.250 0.641
Sn 0.750 0.750 0.359
Rh 0.250 0.750 0.500
Rh 0.750 0.250 0.500

=====

# 2
! PBE CuSiRh4, relaxed; values from VASP
! Total magnetic moment, μB per formula unit: 0.00
! ΔE_f (raw), eV per atom: 0.4303
&SYSTEM
  ibrav = 0, nat = 6, ntyp = 3
/
ATOMIC_SPECIES
Cu 63.55 Cu.upf
Si 28.09 Si.upf
Rh 102.91 Rh.upf
CELL_PARAMETERS angstrom
0.000 3.586 3.586
3.586 0.000 3.586
3.586 3.586 0.000
ATOMIC_POSITIONS crystal
Cu 0.000 0.000 0.000
Si 0.250 0.250 0.250
Rh 0.125 0.625 0.625
Rh 0.625 0.125 0.625
Rh 0.625 0.625 0.125
Rh 0.625 0.625 0.625

=====

# 3
! PBE CeThH4, relaxed; values from VASP
! Total magnetic moment, μB per formula unit: 0.94
&SYSTEM
  ibrav = 0, nat = 12, ntyp = 3
/
ATOMIC_SPECIES
Ce 140.12 Ce.upf
Th 232.04 Th.upf
H 1.01 H.upf
CELL_PARAMETERS angstrom
-2.728 2.728 5.485
2.728 -2.728 5.485
2.728 2.728 -5.485
ATOMIC_POSITIONS crystal
Ce 0.375 0.625 0.750
Ce 0.625 0.375 0.250
Th 0.125 0.875 0.250
Th 0.875 0.125 0.750
H 0.000 0.246 0.246
H 0.000 0.754 0.754
H 0.246 0.000 0.746
H 0.246 0.500 0.246
H 0.500 0.246 0.746
H 0.500 0.754 0.254
H 0.754 0.000 0.254
H 0.754 0.500 0.754

=====

# 4
! PBE Ba3La2ErTe6, relaxed; values from VASP
! Total magnetic moment, μB per formula unit: 0.00
! ΔE_f (raw), eV per atom: -1.5981
&SYSTEM
  ibrav = 0, nat = 12, ntyp = 4
/
ATOMIC_SPECIES
Ba 137.33 Ba.upf
La 138.91 La.upf
Er 167.26 Er.upf
Te 127.60 Te.upf
CELL_PARAMETERS angstrom
4.053 -7.012 0.000
4.053 7.012 0.000
-2.705 0.000 7.873
ATOMIC_POSITIONS crystal
Ba 0.000 0.000 0.000
Ba 0.329 0.671 0.000
Ba 0.671 0.329 0.000
La 0.165 0.835 0.500
La 0.835 0.165 0.500
Er 0.500 0.500 0.500
Te 0.105 0.427 0.279
Te 0.255 0.255 0.725
Te 0.427 0.105 0.279
Te 0.573 0.895 0.721
Te 0.745 0.745 0.275
Te 0.895 0.573 0.721

=====

# 5
! PBE HSF3, relaxed; values from VASP
! Total magnetic moment, μB per formula unit: 0.00
&SYSTEM
  ibrav = 0, nat = 5, ntyp = 3
/
ATOMIC_SPECIES
H 1.01 H.upf
S 32.06 S.upf
F 19.00 F.upf
CELL_PARAMETERS angstrom
3.511 0.000 0.000
0.000 3.511 0.000
0.000 0.000 3.511
ATOMIC_POSITIONS crystal
H 0.000 0.000 0.000
S 0.500 0.500 0.500
F 0.000 0.000 0.500
F 0.000 0.500 0.000
F 0.500 0.000 0.000

=====

# 6
! PBE KTcGe2O8, relaxed; values from VASP
! Total magnetic moment, μB per formula unit: 0.00
! ΔE_f (raw), eV per atom: -1.3389
&SYSTEM
  ibrav = 0, nat = 12, ntyp = 4
/
ATOMIC_SPECIES
K 39.10 K.upf
Tc 98.00 Tc.upf
Ge 72.64 Ge.upf
O 16.00 O.upf
CELL_PARAMETERS angstrom
5.030 0.000 0.000
1.646 4.755 0.000
1.819 1.291 6.742
ATOMIC_POSITIONS crystal
K 0.000 0.000 0.000
Tc 0.000 0.000 0.500
Ge 0.450 0.450 0.208
Ge 0.550 0.550 0.792
O 0.227 0.761 0.691
O 0.236 0.239 0.421
O 0.241 0.775 0.308
O 0.345 0.347 0.017
O 0.655 0.653 0.983
O 0.759 0.225 0.692
O 0.764 0.761 0.579
O 0.773 0.239 0.309

=====

# 7
! PBE Na2PaInBr8, relaxed; values from VASP
! Total magnetic moment, μB per formula unit: 0.29
! ΔE_f (raw), eV per atom: -1.2946
&SYSTEM
  ibrav = 0, nat = 12, ntyp = 4
/
ATOMIC_SPECIES
Na 22.99 Na.upf
Pa 231.04 Pa.upf
In 114.82 In.upf
Br 79.90 Br.upf
CELL_PARAMETERS angstrom
6.877 0.000 0.000
0.000 9.384 0.000
-0.365 0.000 7.061
ATOMIC_POSITIONS crystal
Na 0.000 0.230 0.000
Na 0.000 0.770 0.000
Pa 0.500 0.500 0.500
In 0.500 0.000 0.500
Br 0.202 0.000 0.183
Br 0.227 0.500 0.198
Br 0.296 0.289 0.672
Br 0.296 0.711 0.672
Br 0.704 0.289 0.328
Br 0.704 0.711 0.328
Br 0.773 0.500 0.802
Br 0.798 0.000 0.817

=====

# 8
! PBE Mg9Si5, relaxed; values from VASP
! Total magnetic moment, μB per formula unit: 0.00
! ΔE_f (raw), eV per atom: -0.1134
&SYSTEM
  ibrav = 0, nat = 28, ntyp = 2
/
ATOMIC_SPECIES
Mg 24.30 Mg.upf
Si 28.09 Si.upf
CELL_PARAMETERS angstrom
7.177 0.000 0.000
-3.589 6.216 0.000
0.000 0.000 12.297
ATOMIC_POSITIONS crystal
Mg 0.072 0.345 0.250
Mg 0.084 0.405 0.583
Mg 0.084 0.405 0.917
Mg 0.273 0.928 0.250
Mg 0.321 0.916 0.583
Mg 0.321 0.916 0.917
Mg 0.345 0.273 0.750
Mg 0.405 0.321 0.083
Mg 0.405 0.321 0.417
Mg 0.595 0.679 0.583
Mg 0.595 0.679 0.917
Mg 0.655 0.727 0.250
Mg 0.679 0.084 0.083
Mg 0.679 0.084 0.417
Mg 0.727 0.072 0.750
Mg 0.916 0.595 0.083
Mg 0.916 0.595 0.417
Mg 0.928 0.655 0.750
Si 0.000 0.000 0.101
Si 0.000 0.000 0.399
Si 0.000 0.000 0.601
Si 0.000 0.000 0.899
Si 0.333 0.667 0.088
Si 0.333 0.667 0.412
Si 0.333 0.667 0.750
Si 0.667 0.333 0.250
Si 0.667 0.333 0.588
Si 0.667 0.333 0.912

=====

Number 1: VASP energy -0.160 Ha/atom, volume 33.056 Å³ per atom. Number 2: VASP energy -0.223 Ha/atom, volume 15.377 Å³ per atom. Number 3: VASP energy -0.184 Ha/atom, volume 13.603 Å³ per atom. Number 4: VASP energy -0.178 Ha/atom, volume 37.296 Å³ per atom. Number 5: VASP energy -0.097 Ha/atom, volume 8.654 Å³ per atom. Number 6: VASP energy -0.234 Ha/atom, volume 13.438 Å³ per atom. Number 7: VASP energy -0.134 Ha/atom, volume 37.970 Å³ per atom. Number 8: VASP energy -0.113 Ha/atom, volume 19.591 Å³ per atom.